# 1
A plane-wave DFT calculation with PBE was carried out for Al3Tl5 after structural relaxation.

abc: 7.0909 7.0909 4.2573
angles: 90.00 90.00 90.89
Last column: nearest neighbours and their distance in Å.
Fractional positions:
Tl 0.5000 0.0000 0.0000  6 Tl 3.30-3.55, 6 Al 3.33-3.55
Tl 0.0000 0.0000 0.0000  8 Tl 3.27-3.55
Al 0.6876 0.3124 0.5000  2 Al 2.85, 2 Tl 3.13
Tl 0.0000 0.5000 0.0000  6 Tl 3.30-3.55, 6 Al 3.33-3.55
Al 0.5000 0.5000 0.0000  4 Al 2.85
Tl 0.7507 0.7507 0.5000  4 Al 3.13-3.28, 6 Tl 3.27-3.30
Al 0.3124 0.6876 0.5000  2 Al 2.85, 2 Tl 3.13
Tl 0.2493 0.2493 0.5000  4 Al 3.13-3.28, 6 Tl 3.27-3.30

Calculated values
Polymorph energy (0 for the lowest one) (meV per atom): 0
Formation enthalpy at 0 K (meV/atom): 229
Space group: Cmmm, No. 65
Final energy (eV per formula unit): -21.2
Total moment (μB per formula unit): 0.00

# 2
A plane-wave DFT calculation with PBE was carried out for ZnAgAu2 after structural relaxation.

abc: 3.0213 3.0213 7.4979
angles: 90.00 90.00 90.00
Last column: nearest neighbours and their distance in Å.
Fractional positions:
Zn 0.0000 0.0000 0.4965  4 Au 2.72, 4 Ag 2.77, 4 Zn 3.02
Au 0.0000 0.0000 0.9990  4 Ag 2.93, 8 Au 2.96-3.02
Ag 0.5000 0.5000 0.7322  4 Zn 2.77, 4 Au 2.93, 4 Ag 3.02
Au 0.5000 0.5000 0.2722  4 Zn 2.72, 8 Au 2.96-3.02

Calculated values
Formation enthalpy at 0 K (meV/atom): -77
Space group: P4mm, No. 99
Final energy (eV per formula unit): -11.0
Total moment (μB per formula unit): 0.00

# 3
A plane-wave DFT calculation with PBE was carried out for LiCaSnRh after structural relaxation.

abc: 4.5531 4.5581 5.7581
angles: 66.69 90.00 119.96
Last column: nearest neighbours and their distance in Å.
Fractional positions:
Sn 0.8091 0.6181 0.8484  3 Rh 2.63, 3 Li 2.87
Rh 0.1458 0.2917 0.8373  3 Sn 2.63, 3 Li 2.89-2.90
Ca 0.5977 0.1955 0.4821  4 Li 3.02-3.37, 3 Rh 3.20, 4 Sn 3.23-3.25
Li 0.4017 0.8033 0.0712  3 Sn 2.87, 3 Rh 2.89-2.90, 1 Ca 3.02

Calculated values
Formation enthalpy at 0 K (meV/atom): -443
Space group: R3m, No. 160
Final energy (eV per formula unit): -17.0
Total moment (μB per formula unit): 0.00

Copy entry 2 word for word.
A plane-wave DFT calculation with PBE was carried out for ZnAgAu2 after structural relaxation.

abc: 3.0213 3.0213 7.4979
angles: 90.00 90.00 90.00
Last column: nearest neighbours and their distance in Å.
Fractional positions:
Zn 0.0000 0.0000 0.4965  4 Au 2.72, 4 Ag 2.77, 4 Zn 3.02
Au 0.0000 0.0000 0.9990  4 Ag 2.93, 8 Au 2.96-3.02
Ag 0.5000 0.5000 0.7322  4 Zn 2.77, 4 Au 2.93, 4 Ag 3.02
Au 0.5000 0.5000 0.2722  4 Zn 2.72, 8 Au 2.96-3.02

Calculated values
Formation enthalpy at 0 K (meV/atom): -77
Space group: P4mm, No. 99
Final energy (eV per formula unit): -11.0
Total moment (μB per formula unit): 0.00